w) # BiOs2O8

Crystalline BiOs2O8 at its relaxed geometry (PBE-GGA, Alexandria).

Cell lengths 6.2004, 6.2004, 6.4183 Å; angles 90.00, 90.00, 120.00 degrees
Closest atoms and distances in Å follow each position.
Fractional positions:
Bi 0.0000 0.0000 0.0000  6 O 2.33
Os 0.3333 0.6667 0.6913  4 O 1.74-1.80
Os 0.6667 0.3333 0.3087  4 O 1.74-1.80
O 0.1764 0.3529 0.7888  1 Os 1.80
O 0.1764 0.8236 0.7888  1 Os 1.80
O 0.3333 0.6667 0.4204  1 Os 1.74
O 0.3529 0.1764 0.2112  1 Os 1.80
O 0.6471 0.8236 0.7888  1 Os 1.80
O 0.6667 0.3333 0.5796  1 Os 1.74
O 0.8236 0.1764 0.2112  1 Os 1.80
O 0.8236 0.6471 0.2112  1 Os 1.80


x) # BiOs2O8

Crystalline BiOs2O8 at its relaxed geometry (PBE-GGA, Alexandria).

Cell lengths 6.3666, 6.3666, 5.7336 Å; angles 95.92, 95.92, 85.74 degrees
Closest atoms and distances in Å follow each position.
Fractional positions:
Bi 0.0000 0.0000 0.0000  6 O 2.34-2.35
Os 0.2399 0.2399 0.6306  4 O 1.72-1.82
Os 0.7601 0.7601 0.3694  4 O 1.72-1.82
O 0.0019 0.7098 0.2220  1 Os 1.82
O 0.1869 0.1869 0.3184  1 Os 1.79
O 0.2902 0.9981 0.7780  1 Os 1.82
O 0.4236 0.4236 0.7228  1 Os 1.72
O 0.5764 0.5764 0.2772  1 Os 1.72
O 0.7098 0.0019 0.2220  1 Os 1.82
O 0.8131 0.8131 0.6816  1 Os 1.79
O 0.9981 0.2902 0.7780  1 Os 1.82


Energy relative to the most stable one, in meV per atom: w) 10; x) 0


w) # Bi3OsO

Crystalline Bi3OsO at its relaxed geometry (PBE-GGA, Alexandria).

Cell lengths 4.7860, 4.7860, 4.7860 Å; angles 90.00, 90.00, 90.00 degrees
Closest atoms and distances in Å follow each position.
Fractional positions:
Bi 0.0000 0.0000 0.5000  2 O 2.39
Bi 0.0000 0.5000 0.0000  2 O 2.39
Bi 0.5000 0.0000 0.0000  2 O 2.39
Os 0.5000 0.5000 0.5000  12 Bi 3.38
O 0.0000 0.0000 0.0000  6 Bi 2.39


x) # Bi3OsO

Crystalline Bi3OsO at its relaxed geometry (PBE-GGA, Alexandria).

Cell lengths 5.2765, 5.2765, 5.2765 Å; angles 90.00, 90.00, 90.00 degrees
Closest atoms and distances in Å follow each position.
Fractional positions:
Bi 0.0000 0.0000 0.5000  2 Os 2.64
Bi 0.0000 0.5000 0.0000  2 Os 2.64
Bi 0.5000 0.0000 0.0000  2 Os 2.64
Os 0.0000 0.0000 0.0000  6 Bi 2.64
O 0.5000 0.5000 0.5000  12 Bi 3.73


Energy relative to the most stable one, in meV per atom: w) 0; x) 505


w) # BiPOsO2

Crystalline BiPOsO2 at its relaxed geometry (PBE-GGA, Alexandria).

Cell lengths 4.0590, 4.0590, 5.7022 Å; angles 90.00, 90.00, 90.00 degrees
Closest atoms and distances in Å follow each position.
Fractional positions:
Bi 0.0000 0.0000 0.0000  4 O 2.03
P 0.0000 0.0000 0.5000  2 Bi 2.85, 4 Os 2.87
Os 0.5000 0.5000 0.5000  4 P 2.87
O 0.0000 0.5000 0.0000  2 Bi 2.03
O 0.5000 0.0000 0.0000  2 Bi 2.03


x) # BiPOsO2

Crystalline BiPOsO2 at its relaxed geometry (PBE-GGA, Alexandria).

Cell lengths 3.9133, 3.9133, 5.1756 Å; angles 90.00, 90.00, 90.00 degrees
Closest atoms and distances in Å follow each position.
Fractional positions:
Bi 0.0000 0.0000 0.0000  4 P 2.77
P 0.5000 0.5000 0.0000  2 Os 2.59, 4 Bi 2.77
Os 0.5000 0.5000 0.5000  4 O 1.96
O 0.0000 0.5000 0.5000  2 Os 1.96
O 0.5000 0.0000 0.5000  2 Os 1.96


Energy relative to the most stable one, in meV per atom: w) 1132; x) 0